VASP calculation (PBE) on a relaxed structure of Na2SiBSbO7.

- Formation energy from raw total energies: -2075 meV per atom
- Symmetry: P2_1/m
- Total DFT energy (no corrections): -6.539 eV/atom

abc: 6.6244 5.4328 9.6156
angles: 85.77 90.00 90.00
Atoms (fractional coordinates):
O (0.0529, 0.8103, 0.3409)
O (0.7500, 0.5698, 0.5232)
O (0.7500, 0.5366, 0.2041)
O (0.2500, 0.0415, 0.8464)
O (0.9471, 0.1897, 0.6591)
O (0.5529, 0.1897, 0.6591)
O (0.4471, 0.8103, 0.3409)
O (0.7500, 0.6900, 0.9571)
O (0.2500, 0.8764, 0.5825)
O (0.2500, 0.4302, 0.4768)
O (0.2500, 0.3100, 0.0429)
O (0.2500, 0.4634, 0.7959)
O (0.7500, 0.9585, 0.1536)
O (0.7500, 0.1236, 0.4175)
B (0.7500, 0.7283, 0.0898)
B (0.2500, 0.2717, 0.9102)
Na (0.9998, 0.2423, 0.1901)
Na (0.5002, 0.2423, 0.1901)
Na (0.0002, 0.7577, 0.8099)
Na (0.4998, 0.7577, 0.8099)
Si (0.7500, 0.2662, 0.5624)
Si (0.2500, 0.7338, 0.4376)
Sb (0.2500, 0.2127, 0.6515)
Sb (0.7500, 0.7873, 0.3485)